*w*
# NaZr (GGA-PBE, optimized geometry)
# V: 25.34 A^3/atom
data_NaZr
_chemical_formula_sum 'Na4 Zr4'
_cell_length_a 6.7277
_cell_length_b 6.7277
_cell_length_c 5.1726
_cell_angle_alpha 90.00
_cell_angle_beta 90.00
_cell_angle_gamma 120.00
_symmetry_space_group_name_H-M 'P -6 m 2'
_symmetry_Int_Tables_number 187
_symmetry_space_group_name_Hall 'P -6 2'
loop_
_atom_site_label
_atom_site_fract_x
_atom_site_fract_y
_atom_site_fract_z
_atom_site_occupancy
Na1 0.0000 0.0000 0.0000 1
Na2 0.3276 0.1638 0.5000 1
Zr1 0.0452 0.5226 0.0000 1
Zr2 0.3333 0.6667 0.5000 1


*x*
# NaZr (GGA-PBE, optimized geometry)
# V: 25.21 A^3/atom
data_NaZr
_chemical_formula_sum 'Na6 Zr6'
_cell_length_a 5.198
_cell_length_b 9.922
_cell_length_c 5.866
_cell_angle_alpha 90.00
_cell_angle_beta 90.00
_cell_angle_gamma 90.00
_symmetry_space_group_name_H-M 'P m c 21'
_symmetry_Int_Tables_number 26
_symmetry_space_group_name_Hall 'P 2c -2'
loop_
_atom_site_label
_atom_site_fract_x
_atom_site_fract_y
_atom_site_fract_z
_atom_site_occupancy
Na1 0.000 0.083 0.000 1
Na2 0.000 0.403 0.985 1
Na3 0.500 0.086 0.706 1
Zr1 0.000 0.283 0.471 1
Zr2 0.500 0.273 0.239 1
Zr3 0.500 0.427 0.692 1


Most stable to least stable, the ends of the list are *w* and *x*.


*w*
# ScTlCoHg (GGA-PBE, optimized geometry)
# V: 18.72 A^3/atom
data_ScTlCoHg
_chemical_formula_sum 'Sc4 Tl4 Co4 Hg4'
_cell_length_a 6.691
_cell_length_b 6.691
_cell_length_c 6.691
_cell_angle_alpha 90.00
_cell_angle_beta 90.00
_cell_angle_gamma 90.00
_symmetry_space_group_name_H-M 'F -4 3 m'
_symmetry_Int_Tables_number 216
_symmetry_space_group_name_Hall 'F -4 2 3'
loop_
_atom_site_label
_atom_site_fract_x
_atom_site_fract_y
_atom_site_fract_z
_atom_site_occupancy
Sc1 0.000 0.000 0.000 1
Tl1 0.250 0.250 0.250 1
Co1 0.000 0.000 0.500 1
Hg1 0.250 0.250 0.750 1


*x*
# ScTlCoHg (GGA-PBE, optimized geometry)
# V: 19.28 A^3/atom
data_ScTlCoHg
_chemical_formula_sum 'Sc4 Tl4 Co4 Hg4'
_cell_length_a 6.757
_cell_length_b 6.757
_cell_length_c 6.757
_cell_angle_alpha 90.00
_cell_angle_beta 90.00
_cell_angle_gamma 90.00
_symmetry_space_group_name_H-M 'F -4 3 m'
_symmetry_Int_Tables_number 216
_symmetry_space_group_name_Hall 'F -4 2 3'
loop_
_atom_site_label
_atom_site_fract_x
_atom_site_fract_y
_atom_site_fract_z
_atom_site_occupancy
Sc1 0.000 0.000 0.000 1
Tl1 0.000 0.000 0.500 1
Co1 0.250 0.250 0.750 1
Hg1 0.250 0.250 0.250 1


Most stable to least stable, the ends of the list are *w* and *x*.


*w*
# IrOsNO (GGA-PBE, optimized geometry)
# V: 10.82 A^3/atom
data_IrOsNO
_chemical_formula_sum 'Ir2 Os2 N2 O2'
_cell_length_a 3.714
_cell_length_b 3.714
_cell_length_c 6.275
_cell_angle_alpha 90.00
_cell_angle_beta 90.00
_cell_angle_gamma 90.00
_symmetry_space_group_name_H-M 'P 4/n m m'
_symmetry_Int_Tables_number 129
loop_
_symmetry_equiv_pos_as_xyz
'x,y,z'
'-x,-y,-z'
'-y+1/2,x,z'
'y+1/2,-x,-z'
'-x+1/2,-y+1/2,z'
'x+1/2,y+1/2,-z'
'y,-x+1/2,z'
'-y,x+1/2,-z'
'x+1/2,-y,-z'
'-x+1/2,y,z'
'-y,-x,-z'
'y,x,z'
'-x,y+1/2,-z'
'x,-y+1/2,z'
'y+1/2,x+1/2,-z'
'-y+1/2,-x+1/2,z'
loop_
_atom_site_label
_atom_site_fract_x
_atom_site_fract_y
_atom_site_fract_z
_atom_site_occupancy
Ir1 0.250 0.750 0.000 1
Os1 0.250 0.250 0.323 1
N1 0.250 0.250 0.813 1
O1 0.250 0.750 0.500 1


*x*
# IrOsNO (GGA-PBE, optimized geometry)
# V: 11.62 A^3/atom
data_IrOsNO
_chemical_formula_sum 'Ir2 Os2 N2 O2'
_cell_length_a 2.760
_cell_length_b 6.300
_cell_length_c 5.348
_cell_angle_alpha 90.00
_cell_angle_beta 90.00
_cell_angle_gamma 90.00
_symmetry_space_group_name_H-M 'P m c 21'
_symmetry_Int_Tables_number 26
_symmetry_space_group_name_Hall 'P 2c -2'
loop_
_atom_site_label
_atom_site_fract_x
_atom_site_fract_y
_atom_site_fract_z
_atom_site_occupancy
Ir1 0.000 0.120 0.000 1
Os1 0.500 0.288 0.389 1
N1 0.000 0.174 0.626 1
O1 0.500 0.428 0.027 1


Most stable to least stable, the ends of the list are *x* and *w*.


*w*
# PrZr (GGA-PBE, optimized geometry)
# V: 29.19 A^3/atom
data_PrZr
_chemical_formula_sum 'Pr6 Zr6'
_cell_length_a 5.492
_cell_length_b 10.992
_cell_length_c 5.802
_cell_angle_alpha 90.00
_cell_angle_beta 90.00
_cell_angle_gamma 90.00
_symmetry_space_group_name_H-M 'P m c 21'
_symmetry_Int_Tables_number 26
_symmetry_space_group_name_Hall 'P 2c -2'
loop_
_atom_site_label
_atom_site_fract_x
_atom_site_fract_y
_atom_site_fract_z
_atom_site_occupancy
Pr1 0.000 0.080 0.000 1
Pr2 0.000 0.397 0.042 1
Pr3 0.500 0.389 0.627 1
Zr1 0.000 0.228 0.502 1
Zr2 0.500 0.084 0.648 1
Zr3 0.500 0.214 0.175 1


*x*
# PrZr (GGA-PBE, optimized geometry)
# V: 28.78 A^3/atom
data_PrZr
_chemical_formula_sum 'Pr10 Zr10'
_cell_length_a 5.515
_cell_length_b 17.434
_cell_length_c 5.987
_cell_angle_alpha 90.00
_cell_angle_beta 90.00
_cell_angle_gamma 90.00
_symmetry_space_group_name_H-M 'A m m 2'
_symmetry_Int_Tables_number 38
_symmetry_space_group_name_Hall 'A 2 -2'
loop_
_atom_site_label
_atom_site_fract_x
_atom_site_fract_y
_atom_site_fract_z
_atom_site_occupancy
Pr1 0.000 0.000 0.000 1
Pr2 0.000 0.104 0.536 1
Pr3 0.500 0.111 0.178 1
Zr1 0.000 0.215 0.987 1
Zr2 0.500 0.000 0.676 1
Zr3 0.500 0.205 0.701 1


Most stable to least stable, the ends of the list are *w* and *x*.


*w*
# ZnTePtO (GGA-PBE, optimized geometry)
# V: 18.38 A^3/atom
data_ZnTePtO
_chemical_formula_sum 'Zn2 Te2 Pt2 O2'
_cell_length_a 4.130
_cell_length_b 4.130
_cell_length_c 8.620
_cell_angle_alpha 90.00
_cell_angle_beta 90.00
_cell_angle_gamma 90.00
_symmetry_space_group_name_H-M 'P 4/n m m'
_symmetry_Int_Tables_number 129
loop_
_symmetry_equiv_pos_as_xyz
'x,y,z'
'-x,-y,-z'
'-y+1/2,x,z'
'y+1/2,-x,-z'
'-x+1/2,-y+1/2,z'
'x+1/2,y+1/2,-z'
'y,-x+1/2,z'
'-y,x+1/2,-z'
'x+1/2,-y,-z'
'-x+1/2,y,z'
'-y,-x,-z'
'y,x,z'
'-x,y+1/2,-z'
'x,-y+1/2,z'
'y+1/2,x+1/2,-z'
'-y+1/2,-x+1/2,z'
loop_
_atom_site_label
_atom_site_fract_x
_atom_site_fract_y
_atom_site_fract_z
_atom_site_occupancy
Zn1 0.250 0.250 0.144 1
Te1 0.250 0.250 0.832 1
Pt1 0.250 0.250 0.441 1
O1 0.250 0.750 0.500 1


*x*
# ZnTePtO (GGA-PBE, optimized geometry)
# V: 18.77 A^3/atom
data_ZnTePtO
_chemical_formula_sum 'Zn8 Te8 Pt8 O8'
_cell_length_a 6.396
_cell_length_b 13.750
_cell_length_c 6.829
_cell_angle_alpha 90.00
_cell_angle_beta 90.00
_cell_angle_gamma 90.00
_symmetry_space_group_name_H-M 'P b c a'
_symmetry_Int_Tables_number 61
_symmetry_space_group_name_Hall '-P 2ac 2ab'
loop_
_atom_site_label
_atom_site_fract_x
_atom_site_fract_y
_atom_site_fract_z
_atom_site_occupancy
Zn1 0.006 0.247 0.127 1
Te1 0.003 0.513 0.749 1
Pt1 0.246 0.588 0.480 1
O1 0.180 0.248 0.875 1


Most stable to least stable, the ends of the list are *x* and *w*.


*w*
# LiScCuSb (GGA-PBE, optimized geometry)
# V: 17.04 A^3/atom
data_LiScCuSb
_chemical_formula_sum 'Li4 Sc4 Cu4 Sb4'
_cell_length_a 6.484
_cell_length_b 6.484
_cell_length_c 6.484
_cell_angle_alpha 90.00
_cell_angle_beta 90.00
_cell_angle_gamma 90.00
_symmetry_space_group_name_H-M 'F -4 3 m'
_symmetry_Int_Tables_number 216
_symmetry_space_group_name_Hall 'F -4 2 3'
loop_
_atom_site_label
_atom_site_fract_x
_atom_site_fract_y
_atom_site_fract_z
_atom_site_occupancy
Li1 0.000 0.000 0.000 1
Sc1 0.250 0.250 0.250 1
Cu1 0.000 0.000 0.500 1
Sb1 0.250 0.250 0.750 1


*x*
# LiScCuSb (GGA-PBE, optimized geometry)
# V: 17.75 A^3/atom
data_LiScCuSb
_chemical_formula_sum 'Li4 Sc4 Cu4 Sb4'
_cell_length_a 6.574
_cell_length_b 6.574
_cell_length_c 6.574
_cell_angle_alpha 90.00
_cell_angle_beta 90.00
_cell_angle_gamma 90.00
_symmetry_space_group_name_H-M 'F -4 3 m'
_symmetry_Int_Tables_number 216
_symmetry_space_group_name_Hall 'F -4 2 3'
loop_
_atom_site_label
_atom_site_fract_x
_atom_site_fract_y
_atom_site_fract_z
_atom_site_occupancy
Li1 0.000 0.000 0.000 1
Sc1 0.250 0.250 0.750 1
Cu1 0.250 0.250 0.250 1
Sb1 0.000 0.000 0.500 1


Most stable to least stable, the ends of the list are *w* and *x*.